1.
# Ba4AgSe (PBE, relaxed)
data_Ba4AgSe
_chemical_formula_sum 'Ba4 Ag1 Se1'
_symmetry_space_group_name_H-M 'P 1'
_symmetry_Int_Tables_number 1
_cell_length_a 7.195
_cell_length_b 7.195
_cell_length_c 7.195
_cell_angle_alpha 60.00
_cell_angle_beta 60.00
_cell_angle_gamma 60.00
loop_
_symmetry_equiv_pos_as_xyz
'x,y,z'
loop_
_atom_site_label
_atom_site_type_symbol
_atom_site_fract_x
_atom_site_fract_y
_atom_site_fract_z
Ba1 Ba 0.872 0.376 0.376
Se1 Se 0.750 0.750 0.750
Ba2 Ba 0.376 0.376 0.376
Ag1 Ag 0.000 0.000 0.000
Ba3 Ba 0.376 0.872 0.376
Ba4 Ba 0.376 0.376 0.872
# Energy relative to the elements, uncorrected in kJ/mol of atoms: 18.5
# Magnetic moment in μB/cell: 0.0
# E in eV per atom: -2.15

=====

2.
# Ba2AgSe2 (PBE, relaxed)
data_Ba2AgSe2
_chemical_formula_sum 'Ba4 Ag2 Se4'
_symmetry_space_group_name_H-M 'P 1'
_symmetry_Int_Tables_number 1
_cell_length_a 8.736
_cell_length_b 8.736
_cell_length_c 4.263
_cell_angle_alpha 90.00
_cell_angle_beta 90.00
_cell_angle_gamma 90.00
loop_
_symmetry_equiv_pos_as_xyz
'x,y,z'
loop_
_atom_site_label
_atom_site_type_symbol
_atom_site_fract_x
_atom_site_fract_y
_atom_site_fract_z
Ag1 Ag 0.500 0.500 0.000
Se1 Se 0.654 0.154 0.000
Ba1 Ba 0.846 0.346 0.500
Se2 Se 0.154 0.346 0.000
Se3 Se 0.346 0.846 0.000
Ba2 Ba 0.154 0.654 0.500
Ba3 Ba 0.346 0.154 0.500
Ag2 Ag 0.000 0.000 0.000
Se4 Se 0.846 0.654 0.000
Ba4 Ba 0.654 0.846 0.500
# Energy relative to the elements, uncorrected in kJ/mol of atoms: -123.1
# Magnetic moment in μB/cell: 0.0
# E in eV per atom: -4.01

=====

Q: Among the records above, which one has the lowest energy relative to the elements, uncorrected?
A: Ba2AgSe2